[1]
CrInO4: relaxed, PBE+U.

Results
* total magnetic moment: 1.00 μB/f.u.
* theoretical density: 5.46 Mg/m³
* SG: No. 30
* E: -6.30 eV per atom

a = 4.727 Å, b = 4.970 Å, c = 5.978 Å
α = 90.00°, β = 90.00°, γ = 90.00°
Fractional coordinates of all 12 atoms:
Cr 0.000 0.000 0.806
Cr 0.500 0.000 0.306
In 0.000 0.500 0.183
In 0.500 0.500 0.683
O 0.260 0.847 0.116
O 0.195 0.293 0.889
O 0.305 0.293 0.389
O 0.240 0.847 0.616
O 0.695 0.707 0.389
O 0.760 0.153 0.616
O 0.740 0.153 0.116
O 0.805 0.707 0.889

---

[2]
Cr2InOsO: relaxed, PBE+U.

Results
* total magnetic moment: 8.79 μB/f.u.
* theoretical density: 6.87 Mg/m³
* SG: No. 123
* E: -6.38 eV per atom

a = 5.276 Å, b = 3.693 Å, c = 5.276 Å
α = 90.00°, β = 90.00°, γ = 90.00°
Fractional coordinates of all 5 atoms:
Cr 0.000 0.000 0.500
Cr 0.500 0.000 0.000
Os 0.000 0.000 0.000
O 0.000 0.500 0.000
In 0.500 0.500 0.500

---

[3]
CrInPO2: relaxed, PBE+U.

Results
* total magnetic moment: 1.74 μB/f.u.
* theoretical density: 5.34 Mg/m³
* SG: No. 123
* E: -5.74 eV per atom

a = 3.725 Å, b = 3.725 Å, c = 5.153 Å
α = 90.00°, β = 90.00°, γ = 90.00°
Fractional coordinates of all 5 atoms:
Cr 0.000 0.000 0.000
O 0.000 0.500 0.000
O 0.500 0.000 0.000
P 0.000 0.000 0.500
In 0.500 0.500 0.500

---

[4]
CrInPO2: relaxed, PBE+U.

Results
* total magnetic moment: 2.03 μB/f.u.
* theoretical density: 4.19 Mg/m³
* SG: No. 123
* E: -5.06 eV per atom

a = 4.034 Å, b = 4.034 Å, c = 5.592 Å
α = 90.00°, β = 90.00°, γ = 90.00°
Fractional coordinates of all 5 atoms:
Cr 0.500 0.500 0.500
O 0.000 0.500 0.000
O 0.500 0.000 0.000
P 0.000 0.000 0.500
In 0.000 0.000 0.000

---

[5]
PaCrInO6: relaxed, PBE+U.

Results
* total magnetic moment: 1.99 μB/f.u.
* theoretical density: 7.13 Mg/m³
* SG: No. 163
* E: -7.79 eV per atom

a = 5.283 Å, b = 5.283 Å, c = 9.514 Å
α = 90.00°, β = 90.00°, γ = 120.00°
Fractional coordinates of all 18 atoms:
Pa 0.000 0.000 0.000
Pa 0.000 0.000 0.500
Cr 0.667 0.333 0.250
Cr 0.333 0.667 0.750
In 0.333 0.667 0.250
In 0.667 0.333 0.750
O 0.676 0.643 0.133
O 0.967 0.324 0.133
O 0.324 0.967 0.633
O 0.033 0.676 0.867
O 0.357 0.324 0.367
O 0.967 0.643 0.367
O 0.643 0.967 0.867
O 0.676 0.033 0.367
O 0.033 0.357 0.633
O 0.357 0.033 0.133
O 0.643 0.676 0.633
O 0.324 0.357 0.867

---

[6]
PaCrIn2O8: relaxed, PBE+U.

Results
* total magnetic moment: 1.55 μB/f.u.
* theoretical density: 6.47 Mg/m³
* SG: No. 119
* E: -6.85 eV per atom

a = 5.997 Å, b = 5.997 Å, c = 5.997 Å
α = 112.92°, β = 112.92°, γ = 102.77°
Fractional coordinates of all 12 atoms:
Pa 0.000 0.000 0.000
Cr 0.250 0.750 0.500
In 0.750 0.250 0.500
In 0.500 0.500 0.000
O 0.349 0.037 0.312
O 0.286 0.493 0.207
O 0.286 0.078 0.793
O 0.725 0.037 0.688
O 0.922 0.714 0.207
O 0.963 0.275 0.312
O 0.963 0.651 0.688
O 0.507 0.714 0.793

---

[7]
Pa2CrInO8: relaxed, PBE+U.

Results
* total magnetic moment: 3.00 μB/f.u.
* theoretical density: 7.58 Mg/m³
* SG: No. 65
* E: -8.51 eV per atom

a = 4.858 Å, b = 4.858 Å, c = 7.024 Å
α = 89.99°, β = 89.99°, γ = 90.19°
Fractional coordinates of all 12 atoms:
Pa 0.500 0.500 0.755
Pa 0.500 0.500 0.245
Cr 0.000 0.000 0.000
In 0.000 0.000 0.500
O 0.189 0.810 0.234
O 0.701 0.701 0.000
O 0.810 0.189 0.234
O 0.811 0.190 0.766
O 0.299 0.299 0.000
O 0.190 0.811 0.766
O 0.690 0.690 0.500
O 0.310 0.310 0.500

---

[8]
Cr2InPbO8: relaxed, PBE+U.

Results
* total magnetic moment: 1.00 μB/f.u.
* theoretical density: 4.72 Mg/m³
* SG: No. 164
* E: -6.33 eV per atom

a = 5.652 Å, b = 5.652 Å, c = 7.039 Å
α = 90.00°, β = 90.00°, γ = 120.00°
Fractional coordinates of all 12 atoms:
Cr 0.333 0.667 0.726
Cr 0.667 0.333 0.274
In 0.000 0.000 0.000
Pb 0.000 0.000 0.500
O 0.166 0.332 0.797
O 0.166 0.834 0.797
O 0.668 0.834 0.797
O 0.332 0.166 0.203
O 0.667 0.333 0.507
O 0.333 0.667 0.493
O 0.834 0.668 0.203
O 0.834 0.166 0.203

---

[9]
Pm2CrInO6: relaxed, PBE+U.

Results
* total magnetic moment: 3.00 μB/f.u.
* theoretical density: 7.11 Mg/m³
* SG: No. 14
* E: -7.55 eV per atom

a = 5.540 Å, b = 5.820 Å, c = 8.004 Å
α = 90.00°, β = 90.29°, γ = 90.00°
Fractional coordinates of all 20 atoms:
Pm 0.019 0.938 0.251
Pm 0.519 0.562 0.751
Pm 0.981 0.062 0.749
Pm 0.481 0.438 0.249
Cr 0.500 0.000 0.500
Cr 0.000 0.500 0.000
In 0.500 0.000 0.000
In 0.000 0.500 0.500
O 0.295 0.690 0.058
O 0.795 0.810 0.558
O 0.705 0.310 0.942
O 0.205 0.190 0.442
O 0.315 0.707 0.437
O 0.815 0.793 0.937
O 0.685 0.293 0.563
O 0.185 0.207 0.063
O 0.885 0.544 0.240
O 0.385 0.956 0.740
O 0.115 0.456 0.760
O 0.615 0.044 0.260

---

[10]
PmCrIn2O6: relaxed, PBE+U.

Results
* total magnetic moment: 3.00 μB/f.u.
* theoretical density: 6.54 Mg/m³
* SG: No. 146
* E: -6.81 eV per atom

a = 5.571 Å, b = 5.571 Å, c = 5.893 Å
α = 61.80°, β = 61.79°, γ = 59.98°
Fractional coordinates of all 10 atoms:
Pm 0.801 0.801 0.598
Cr 0.321 0.321 0.036
In 0.530 0.530 0.411
In 0.017 0.017 0.950
O 0.595 0.225 0.241
O 0.225 0.939 0.241
O 0.939 0.595 0.241
O 0.389 0.700 0.766
O 0.700 0.146 0.766
O 0.146 0.389 0.766

---

[11]
PrCr2InO8: relaxed, PBE+U.

Results
* total magnetic moment: 2.00 μB/f.u.
* theoretical density: 4.30 Mg/m³
* SG: No. 164
* E: -6.87 eV per atom

a = 5.616 Å, b = 5.616 Å, c = 6.892 Å
α = 90.00°, β = 90.00°, γ = 120.00°
Fractional coordinates of all 12 atoms:
Pr 0.000 0.000 0.500
Cr 0.333 0.667 0.713
Cr 0.667 0.333 0.287
In 0.000 0.000 0.000
O 0.160 0.321 0.782
O 0.160 0.840 0.782
O 0.679 0.840 0.782
O 0.321 0.160 0.218
O 0.667 0.333 0.528
O 0.333 0.667 0.472
O 0.840 0.679 0.218
O 0.840 0.160 0.218

---

[12]
RbCr2InO8: relaxed, PBE+U.

Results
* total magnetic moment: 0.00 μB/f.u.
* theoretical density: 3.29 Mg/m³
* SG: No. 12
* E: -6.30 eV per atom

a = 5.393 Å, b = 5.393 Å, c = 8.353 Å
α = 86.54°, β = 86.54°, γ = 64.06°
Fractional coordinates of all 12 atoms:
Rb 0.000 0.000 0.500
Cr 0.629 0.629 0.205
Cr 0.371 0.371 0.795
In 0.000 0.000 0.000
O 0.717 0.232 0.814
O 0.766 0.766 0.063
O 0.689 0.689 0.384
O 0.311 0.311 0.616
O 0.234 0.234 0.937
O 0.232 0.717 0.814
O 0.768 0.283 0.186
O 0.283 0.768 0.186

---

| no. | V (Å³ per atom) |
| --- | --- |
| 1 | 11.703 |
| 2 | 20.561 |
| 3 | 14.296 |
| 4 | 18.204 |
| 5 | 12.777 |
| 6 | 13.696 |
| 7 | 13.817 |
| 8 | 16.227 |
| 9 | 12.903 |
| 10 | 13.271 |
| 11 | 15.689 |
| 12 | 18.156 |